1.
NiSb2Cl | Alexandria via LeMat-Bulk | SCAN | PBEsol geometry; density of states at the Fermi level = 2.196 states/eV/cell; ΔE_f (raw) = 169 meV/atom
1.0
3.164 0.000 0.000
0.000 4.635 0.000
0.000 0.000 5.363
Ni Sb Cl
1 2 1
Direct
0.000 0.000 0.000
0.000 0.000 0.500
0.500 0.500 0.000
0.500 0.500 0.500

---

2.
SiNi2Os | Alexandria via LeMat-Bulk | SCAN | PBEsol geometry; density of states at the Fermi level = 9.582 states/eV/cell; ΔE_f (raw) = -179 meV/atom
1.0
2.769 0.000 0.000
0.000 4.075 0.000
0.000 0.000 8.189
Si Ni Os
2 4 2
Direct
0.000 0.000 0.000
0.500 0.500 0.500
0.000 0.500 0.272
0.000 0.500 0.728
0.500 0.000 0.228
0.500 0.000 0.772
0.000 0.000 0.500
0.500 0.500 0.000

---

3.
BePAu | Alexandria via LeMat-Bulk | SCAN | PBEsol geometry; density of states at the Fermi level = 0.426 states/eV/cell; calculated formation energy = 0.13 eV per atom
1.0
3.650 0.000 0.000
-1.825 3.161 0.000
0.000 0.000 3.742
Be P Au
1 1 1
Direct
0.000 0.000 0.000
0.333 0.667 0.000
0.667 0.333 0.500